Record 1
The following is a GGA-PBE calculation of an optimized crystal structure of Tb2PmSm3Dy6, from Alexandria.

Results
The magnetic moment comes out at 0.000 μB per atom. The formation enthalpy at 0 K is 0.014 eV/atom.

Lattice parameters (Å, degrees): 6.1959 10.7249 11.8290 90.00 100.01 90.00
Closest atoms and distances in Å follow each position.
Space group C2/m (No. 12)
Unique sites:
Tb: 0.0000 0.1667 0.0000  6 Dy 3.56, 3 Pm 3.57-3.58, 3 Tb 3.58
Pm: 0.0000 0.5000 0.0000  6 Dy 3.56, 6 Tb 3.57-3.58
Sm: 0.0000 0.0000 0.5000  6 Sm 3.57-3.58, 6 Dy 3.58
Sm: 0.0000 0.3332 0.5000  6 Sm 3.57-3.58, 6 Dy 3.58
Dy: 0.2497 0.0000 0.2491  1 Pm 3.56, 2 Tb 3.56, 6 Dy 3.57-3.58, 3 Sm 3.58
Dy: 0.2497 0.1669 0.7509  2 Tb 3.56, 1 Pm 3.56, 6 Dy 3.57-3.58, 3 Sm 3.58

=====

Record 2
The following is a GGA-PBE calculation of an optimized crystal structure of TbPmSm4Dy2, from Alexandria.

Results
The magnetic moment comes out at 0.000 μB per atom. The formation enthalpy at 0 K is 0.016 eV/atom.

Lattice parameters (Å, degrees): 6.2302 3.6055 11.9416 90.00 100.16 90.00
Closest atoms and distances in Å follow each position.
Space group P2/m (No. 10)
Unique sites:
Tb: 0.0000 0.0000 0.0000  6 Sm 3.59, 4 Dy 3.60, 2 Tb 3.61
Pm: 0.0000 0.5000 0.5000  4 Dy 3.60, 2 Pm 3.61, 6 Sm 3.61-3.62
Sm: 0.2501 0.5000 0.2491  2 Tb 3.59, 3 Dy 3.59-3.61, 6 Sm 3.60-3.61, 1 Pm 3.61
Sm: 0.2508 0.0000 0.7517  3 Dy 3.58-3.62, 1 Tb 3.59, 6 Sm 3.60-3.61, 2 Pm 3.62
Dy: 0.5000 0.0000 0.5000  4 Pm 3.60, 2 Dy 3.61, 6 Sm 3.61-3.62
Dy: 0.5000 0.5000 0.0000  6 Sm 3.58-3.59, 4 Tb 3.60, 2 Dy 3.61

=====

Record 3
The following is a GGA-PBE calculation of an optimized crystal structure of Tb2Pm2Sm4Dy, from Alexandria.

Results
The magnetic moment comes out at 0.000 μB per atom. The formation enthalpy at 0 K is 0.006 eV/atom.

Lattice parameters (Å, degrees): 18.8809 3.6413 9.6801 90.00 115.67 90.00
Closest atoms and distances in Å follow each position.
Space group C2/m (No. 12)
Unique sites:
Tb: 0.1478 0.0000 0.1664  3 Pm 3.58-3.61, 7 Sm 3.59-3.63, 2 Tb 3.64
Pm: 0.1659 0.5000 0.4985  3 Sm 3.57-3.59, 3 Tb 3.58-3.61, 2 Dy 3.63, 4 Pm 3.64-3.65
Sm: 0.0185 0.5000 0.8333  1 Pm 3.57, 5 Sm 3.59-3.64, 4 Tb 3.59-3.63, 2 Dy 3.59
Sm: 0.1856 0.0000 0.8330  6 Sm 3.59-3.64, 1 Dy 3.59, 2 Pm 3.59, 3 Tb 3.59-3.63
Dy: 0.0000 0.0000 0.5000  6 Sm 3.59, 4 Pm 3.63, 2 Dy 3.64

=====

Record 4
The following is a GGA-PBE calculation of an optimized crystal structure of Tb2Pm2SmDy, from Alexandria.

Results
The magnetic moment comes out at 0.000 μB per atom. The formation enthalpy at 0 K is 0.261 eV/atom.

Lattice parameters (Å, degrees): 6.6366 17.9901 3.3996 90.00 90.00 90.00
Closest atoms and distances in Å follow each position.
Space group Pnnm (No. 58)
Unique sites:
Tb: 0.2289 0.1470 0.0000  1 Dy 3.20, 4 Pm 3.37-3.48, 2 Tb 3.40, 2 Sm 3.49
Pm: 0.2308 0.3155 0.5000  4 Tb 3.37-3.48, 2 Pm 3.40, 1 Dy 3.66
Sm: 0.0000 0.0000 0.5000  2 Sm 3.40, 4 Tb 3.49, 4 Dy 3.73
Dy: 0.0000 0.5000 0.5000  2 Tb 3.20, 2 Dy 3.40

=====

Record 5
The following is a GGA-PBE calculation of an optimized crystal structure of Tb6Pm2Sm3Dy, from Alexandria.

Results
The magnetic moment comes out at 0.000 μB per atom. The formation enthalpy at 0 K is 0.013 eV/atom.

Lattice parameters (Å, degrees): 6.2227 10.7726 11.8877 90.00 100.02 90.00
Closest atoms and distances in Å follow each position.
Space group C2/m (No. 12)
Unique sites:
Tb: 0.2494 0.0000 0.2502  1 Dy 3.58, 2 Pm 3.59, 6 Tb 3.59-3.60, 3 Sm 3.59
Tb: 0.2498 0.1664 0.7497  1 Dy 3.58, 2 Pm 3.58-3.59, 6 Tb 3.59-3.60, 3 Sm 3.59
Pm: 0.0000 0.3334 0.5000  6 Tb 3.58-3.59, 3 Pm 3.59, 3 Dy 3.59
Sm: 0.0000 0.1666 0.0000  6 Tb 3.59, 6 Sm 3.59
Sm: 0.0000 0.5000 0.0000  6 Tb 3.59, 6 Sm 3.59
Dy: 0.0000 0.0000 0.5000  6 Tb 3.58, 6 Pm 3.59

=====

Record 6
The following is a GGA-PBE calculation of an optimized crystal structure of Tb2Pm2Sm2Dy, from Alexandria.

Results
The magnetic moment comes out at 0.000 μB per atom. The formation enthalpy at 0 K is 0.139 eV/atom.

Lattice parameters (Å, degrees): 5.7362 5.7362 24.5543 90.00 90.00 120.00
Closest atoms and distances in Å follow each position.
Space group R-3m (No. 166, hexagonal axes)
Unique sites:
Tb: 0.0000 0.0000 0.0735  4 Sm 3.47-3.55, 3 Pm 3.50, 1 Tb 3.61
Pm: 0.0000 0.0000 0.3610  1 Dy 3.41, 3 Tb 3.50, 1 Sm 3.51, 3 Pm 3.58
Sm: 0.0000 0.0000 0.2180  4 Tb 3.47-3.55, 1 Pm 3.51, 3 Dy 3.54
Dy: 0.0000 0.0000 0.5000  2 Pm 3.41, 6 Sm 3.54

=====

Record 7
The following is a GGA-PBE calculation of an optimized crystal structure of TbPm3Sm2Dy6, from Alexandria.

Results
The magnetic moment comes out at 0.000 μB per atom. The formation enthalpy at 0 K is 0.013 eV/atom.

Lattice parameters (Å, degrees): 6.2170 10.7625 11.8365 90.00 100.05 90.00
Closest atoms and distances in Å follow each position.
Space group C2/m (No. 12)
Unique sites:
Tb: 0.0000 0.0000 0.0000  6 Dy 3.56, 6 Sm 3.59
Pm: 0.0000 0.1666 0.5000  6 Dy 3.58-3.59, 6 Pm 3.59
Pm: 0.0000 0.5000 0.5000  6 Dy 3.59, 6 Pm 3.59
Sm: 0.0000 0.3334 0.0000  6 Dy 3.56-3.57, 3 Sm 3.59, 3 Tb 3.59
Dy: 0.2496 0.0000 0.7511  1 Tb 3.56, 2 Sm 3.57, 3 Pm 3.58-3.59, 6 Dy 3.59
Dy: 0.2498 0.1665 0.2488  2 Sm 3.56-3.57, 1 Tb 3.56, 6 Dy 3.58-3.59, 3 Pm 3.59

=====

Record 8
The following is a GGA-PBE calculation of an optimized crystal structure of Tb2PmSmDy2, from Alexandria.

Results
The magnetic moment comes out at 0.000 μB per atom. The formation enthalpy at 0 K is 0.273 eV/atom.

Lattice parameters (Å, degrees): 6.6069 17.8242 3.3974 90.00 90.00 90.00
Closest atoms and distances in Å follow each position.
Space group Pnnm (No. 58)
Unique sites:
Tb: 0.2284 0.1839 0.0000  4 Dy 3.35-3.42, 2 Tb 3.40, 1 Pm 3.61
Pm: 0.0000 0.0000 0.0000  2 Dy 3.22, 2 Pm 3.40
Sm: 0.0000 0.5000 0.0000  2 Sm 3.40, 4 Dy 3.50, 4 Pm 3.71
Dy: 0.2264 0.3505 0.5000  1 Pm 3.22, 4 Tb 3.35-3.42, 2 Dy 3.40, 2 Sm 3.50

=====

Record 9
The following is a GGA-PBE calculation of an optimized crystal structure of TbPm2SmDy5, from Alexandria.

Results
The magnetic moment comes out at 0.000 μB per atom. The formation enthalpy at 0 K is 0.268 eV/atom.

Lattice parameters (Å, degrees): 8.6885 8.6885 15.5676 90.00 90.00 90.00
Closest atoms and distances in Å follow each position.
Space group I4/mcm (No. 140)
Unique sites:
Tb: 0.0000 0.5000 0.2500  4 Dy 3.11
Pm: 0.1172 0.3828 0.0000  1 Pm 2.88, 2 Dy 3.02
Sm: 0.0000 0.0000 0.2500  10 Dy 3.57-3.89
Dy: 0.0000 0.0000 0.0000  4 Pm 3.48, 8 Dy 3.78, 2 Sm 3.89
Dy: 0.2099 0.2901 0.3618  1 Pm 3.02, 1 Tb 3.11

=====

Record 10
The following is a GGA-PBE calculation of an optimized crystal structure of Tb2Pm3SmDy6, from Alexandria.

Results
The magnetic moment comes out at 0.000 μB per atom. The formation enthalpy at 0 K is 0.014 eV/atom.

Lattice parameters (Å, degrees): 6.2048 10.7418 11.8317 90.00 100.03 90.00
Closest atoms and distances in Å follow each position.
Space group C2/m (No. 12)
Unique sites:
Tb: 0.0000 0.1667 0.0000  6 Dy 3.55-3.56, 3 Sm 3.58, 3 Tb 3.58
Pm: 0.0000 0.0000 0.5000  6 Pm 3.58, 6 Dy 3.59
Pm: 0.0000 0.3332 0.5000  6 Pm 3.58, 6 Dy 3.59
Sm: 0.0000 0.5000 0.0000  6 Dy 3.55-3.56, 6 Tb 3.58
Dy: 0.2496 0.0000 0.2483  1 Sm 3.55, 2 Tb 3.56, 6 Dy 3.58-3.59, 3 Pm 3.59
Dy: 0.2500 0.1668 0.7517  2 Tb 3.55-3.56, 1 Sm 3.56, 6 Dy 3.58-3.59, 3 Pm 3.59

=====

Record 11
The following is a GGA-PBE calculation of an optimized crystal structure of Tb3PmSm6Dy2, from Alexandria.

Results
The magnetic moment comes out at 0.000 μB per atom. The formation enthalpy at 0 K is 0.013 eV/atom.

Lattice parameters (Å, degrees): 6.2380 10.7988 11.9108 90.00 100.02 90.00
Closest atoms and distances in Å follow each position.
Space group C2/m (No. 12)
Unique sites:
Tb: 0.0000 0.0000 0.0000  6 Sm 3.59, 6 Tb 3.60
Tb: 0.0000 0.3331 0.0000  6 Sm 3.59, 6 Tb 3.60
Pm: 0.0000 0.5000 0.5000  6 Sm 3.60, 6 Dy 3.60
Sm: 0.2492 0.1670 0.2494  3 Tb 3.59, 6 Sm 3.60-3.61, 2 Dy 3.60, 1 Pm 3.60
Sm: 0.2499 0.0000 0.7505  3 Tb 3.59, 6 Sm 3.60-3.61, 2 Dy 3.60, 1 Pm 3.60
Dy: 0.0000 0.1667 0.5000  6 Sm 3.60, 3 Dy 3.60, 3 Pm 3.60

=====

Record 12
The following is a GGA-PBE calculation of an optimized crystal structure of TbPm5SmDy2, from Alexandria.

Results
The magnetic moment comes out at 0.000 μB per atom. The formation enthalpy at 0 K is 0.145 eV/atom.

Lattice parameters (Å, degrees): 5.6677 20.3076 10.6984 90.00 90.00 90.00
Closest atoms and distances in Å follow each position.
Space group Cmc2_1 (No. 36)
Unique sites:
Tb: 0.0000 0.0887 0.0000  5 Pm 3.08-3.35
Pm: 0.0000 0.0207 0.2851  2 Tb 3.20-3.35, 2 Pm 3.51-3.52, 2 Dy 3.53
Pm: 0.0000 0.1092 0.5683  6 Pm 3.51-3.91, 4 Dy 3.59-3.63, 1 Sm 3.86
Pm: 0.0000 0.2026 0.2484  3 Pm 3.44-3.71, 3 Sm 3.52-3.81, 1 Tb 3.52, 3 Dy 3.55-3.80
Pm: 0.0000 0.2188 0.8531  1 Tb 3.08, 1 Dy 3.35, 2 Pm 3.44
Pm: 0.0000 0.4832 0.5659  2 Tb 3.26, 3 Dy 3.46-3.61
Sm: 0.0000 0.2993 0.5533  2 Dy 3.44-3.72, 7 Pm 3.52-3.81, 2 Tb 3.68
Dy: 0.0000 0.3838 0.8620  8 Pm 3.35-3.59, 1 Sm 3.72
Dy: 0.0000 0.3891 0.2802  1 Sm 3.44, 7 Pm 3.46-3.80, 2 Tb 3.71